Entry from Alexandria: an optimized crystal structure of KPaPb3 (PBE-GGA).

Geometry as CIF:
```
data_KPaPb3
_chemical_formula_sum 'K1 Pa1 Pb3'
_cell_length_a 6.051
_cell_length_b 6.051
_cell_length_c 6.051
_cell_angle_alpha 90.00
_cell_angle_beta 90.00
_cell_angle_gamma 90.00
_symmetry_space_group_name_H-M 'P 1'
_symmetry_Int_Tables_number 1
_symmetry_space_group_name_Hall 'P 1'
loop_
_atom_site_label
_atom_site_type_symbol
_atom_site_fract_x
_atom_site_fract_y
_atom_site_fract_z
_atom_site_occupancy
K1 K 0.000 0.000 0.000 1
Pa1 Pa 0.500 0.500 0.500 1
Pb1 Pb 0.000 0.500 0.500 1
Pb2 Pb 0.500 0.000 0.500 1
Pb3 Pb 0.500 0.500 0.000 1
```

Properties
Uncorrected energy: -19.8 eV/cell
Symmetry: No. 221
N(E_F): 7.98 states/eV per cell
Total magnetization: 0.00 μB per formula unit

***

Entry from Alexandria: an optimized crystal structure of BeSnN3 (PBE-GGA).

Geometry as CIF:
```
data_BeSnN3
_chemical_formula_sum 'Be1 Sn1 N3'
_cell_length_a 4.115
_cell_length_b 4.115
_cell_length_c 4.115
_cell_angle_alpha 90.00
_cell_angle_beta 90.00
_cell_angle_gamma 90.00
_symmetry_space_group_name_H-M 'P 1'
_symmetry_Int_Tables_number 1
_symmetry_space_group_name_Hall 'P 1'
loop_
_atom_site_label
_atom_site_type_symbol
_atom_site_fract_x
_atom_site_fract_y
_atom_site_fract_z
_atom_site_occupancy
Be1 Be 0.000 0.000 0.000 1
Sn1 Sn 0.500 0.500 0.500 1
N1 N 0.000 0.500 0.500 1
N2 N 0.500 0.000 0.500 1
N3 N 0.500 0.500 0.000 1
```

Properties
Symmetry: No. 221
N(E_F): 2.14 states/eV per cell
Energy relative to the elements, uncorrected: 2.08 eV/atom
Total magnetization: 3.01 μB per formula unit

***

Entry from Alexandria: an optimized crystal structure of Cs2Li3F5 (PBE-GGA).

Geometry as CIF:
```
data_Cs2Li3F5
_chemical_formula_sum 'Cs4 Li6 F10'
_cell_length_a 5.549
_cell_length_b 7.728
_cell_length_c 9.070
_cell_angle_alpha 111.83
_cell_angle_beta 95.54
_cell_angle_gamma 90.29
_symmetry_space_group_name_H-M 'P 1'
_symmetry_Int_Tables_number 1
_symmetry_space_group_name_Hall 'P 1'
loop_
_atom_site_label
_atom_site_type_symbol
_atom_site_fract_x
_atom_site_fract_y
_atom_site_fract_z
_atom_site_occupancy
Cs1 Cs 0.167 0.406 0.280 1
Cs2 Cs 0.282 0.917 0.605 1
Cs3 Cs 0.718 0.083 0.395 1
Cs4 Cs 0.833 0.594 0.720 1
Li1 Li 0.178 0.786 0.099 1
Li2 Li 0.323 0.374 0.786 1
Li3 Li 0.438 0.160 0.998 1
Li4 Li 0.562 0.840 0.002 1
Li5 Li 0.677 0.626 0.214 1
Li6 Li 0.822 0.214 0.901 1
F1 F 0.164 0.238 0.900 1
F2 F 0.175 0.299 0.568 1
F3 F 0.323 0.644 0.895 1
F4 F 0.343 0.020 0.118 1
F5 F 0.373 0.737 0.258 1
F6 F 0.627 0.263 0.742 1
F7 F 0.657 0.980 0.882 1
F8 F 0.677 0.356 0.105 1
F9 F 0.825 0.701 0.432 1
F10 F 0.836 0.762 0.100 1
```

Properties
Symmetry: No. 2
N(E_F): 0.00 states/eV per cell
Energy relative to the elements, uncorrected: -2.78 eV/atom
Total magnetization: 0.11 μB per formula unit